Compound: Tb5Nd2Er2
Source: the Alexandria database
Functional: GGA-PBE
Structure: optimized geometry

The structure belongs to space group C2/m (No. 12); the cell edges are 21.754, 3.497 and 8.215 Å and the angles 90.00°, 99.79° and 90.00°. Symmetry generates all atoms from Tb at (0.000, 0.000, 0.000), Tb at (0.095, 0.000, 0.734), Tb at (0.190, 0.500, 0.532), Nd at (0.180, 0.000, 0.146) and Er at (0.047, 0.500, 0.356).

For the total DFT energy (no corrections), the calculation gives -79.52 eV for the cell shown. As for the formation energy: 0.2282 eV per atom. The crystal system is monoclinic.

***

Compound: Tb3Nd4Er4
Source: the Alexandria database
Functional: GGA-PBE
Structure: optimized geometry

The structure belongs to space group C2/m (No. 12); the cell edges are 39.770, 3.590 and 5.058 Å and the angles 90.00°, 97.30° and 90.00°. Symmetry generates all atoms from Tb at (0.000, 0.000, 0.000), Tb at (0.136, 0.500, 0.636), Nd at (0.046, 0.500, 0.545), Nd at (0.182, 0.000, 0.182), Er at (0.092, 0.000, 0.091) and Er at (0.228, 0.500, 0.728).

For the total DFT energy (no corrections), the calculation gives -102.01 eV for the cell shown. As for the formation energy: 0.0190 eV per atom. The crystal system is monoclinic.

***

Compound: TbNd4Er4
Source: the Alexandria database
Functional: GGA-PBE
Structure: optimized geometry

The structure belongs to space group I4/mmm (No. 139); the cell edges are 10.781, 10.781 and 5.064 Å and the angles 90.00°, 90.00° and 90.00°. Symmetry generates all atoms from Tb at (0.000, 0.000, 0.000), Nd at (0.167, 0.167, 0.500) and Er at (0.000, 0.336, 0.000).

For the total DFT energy (no corrections), the calculation gives -83.54 eV for the cell shown. As for the formation energy: 0.0203 eV per atom. The crystal system is tetragonal.

***

Compound: TbNdEr
Source: the Alexandria database
Functional: GGA-PBE
Structure: optimized geometry

The structure belongs to space group Cmcm (No. 63); the cell edges are 3.546, 20.295 and 5.439 Å and the angles 90.00°, 90.00° and 90.00°. Symmetry generates all atoms from Tb at (0.000, 0.040, 0.250), Nd at (0.000, 0.206, 0.250) and Er at (0.000, 0.385, 0.250).

For the total DFT energy (no corrections), the calculation gives -55.36 eV for the cell shown. As for the formation energy: 0.0407 eV per atom. The crystal system is orthorhombic.

***

Compound: TbNd5Er3
Source: the Alexandria database
Functional: GGA-PBE
Structure: optimized geometry

The structure belongs to space group C2/c (No. 15); the cell edges are 16.525, 6.762 and 11.629 Å and the angles 90.00°, 110.45° and 90.00°. Symmetry generates all atoms from Tb at (0.000, 0.242, 0.250), Nd at (0.000, 0.311, 0.750), Nd at (0.111, 0.496, 0.052), Nd at (0.171, 0.084, 0.843), Er at (0.000, 0.000, 0.000) and Er at (0.239, 0.405, 0.374).

For the total DFT energy (no corrections), the calculation gives -162.33 eV for the cell shown. As for the formation energy: 0.1750 eV per atom. The crystal system is monoclinic.

***

Compound: TbNd2Er7
Source: the Alexandria database
Functional: GGA-PBE
Structure: optimized geometry

The structure belongs to space group Cmmm (No. 65); the cell edges are 6.454, 28.713 and 3.506 Å and the angles 90.00°, 90.00° and 90.00°. Symmetry generates all atoms from Tb at (0.000, 0.000, 0.000), Nd at (0.000, 0.292, 0.500), Er at (0.000, 0.184, 0.000), Er at (0.000, 0.500, 0.500) and Er at (0.246, 0.098, 0.500).

For the total DFT energy (no corrections), the calculation gives -89.03 eV for the cell shown. As for the formation energy: 0.1593 eV per atom. The crystal system is orthorhombic.

***

Compound: Tb5Nd3Er2
Source: the Alexandria database
Functional: GGA-PBE
Structure: optimized geometry

The structure belongs to space group C2/c (No. 15); the cell edges are 10.766, 15.922 and 9.463 Å and the angles 90.00°, 124.39° and 90.00°. Symmetry generates all atoms from Tb at (0.000, 0.027, 0.250), Tb at (0.000, 0.272, 0.750), Tb at (0.000, 0.469, 0.750), Tb at (0.235, 0.387, 0.225), Nd at (0.000, 0.234, 0.250), Nd at (0.142, 0.124, 0.045) and Er at (0.154, 0.383, 0.546).

For the total DFT energy (no corrections), the calculation gives -178.67 eV for the cell shown. As for the formation energy: 0.1912 eV per atom. The crystal system is monoclinic.

***

Compound: Tb5Nd4Er4
Source: the Alexandria database
Functional: GGA-PBE
Structure: optimized geometry

The structure belongs to space group I4/m (No. 87); the cell edges are 12.926, 12.926 and 5.051 Å and the angles 90.00°, 90.00° and 90.00°. Symmetry generates all atoms from Tb at (0.000, 0.000, 0.000), Tb at (0.040, 0.190, 0.500), Nd at (0.078, 0.382, 0.000) and Er at (0.153, 0.770, 0.000).

For the total DFT energy (no corrections), the calculation gives -120.46 eV for the cell shown. As for the formation energy: 0.0186 eV per atom. The crystal system is tetragonal.